# 1
Here is crystalline LuPa2Pd at its relaxed geometry from the Alexandria database. Energies are from GGA-PBE.

## Properties
Its symmetry is R-3m (166). The calculation puts the formation energy at 1 kJ per mole of atoms.

a = 3.3419 Å, b = 3.3419 Å, c = 10.2992 Å
α = 80.66°, β = 80.66°, γ = 60.00°
Last column: nearest neighbours and their distance in Å.
Fractional positions:
Pa (0.2596, 0.2596, 0.2212)  3 Pd 2.96
Pa (0.7404, 0.7404, 0.7788)  3 Pd 2.96
Lu (0.5000, 0.5000, 0.5000)  6 Lu 3.34, 6 Pa 3.42
Pd (0.0000, 0.0000, 0.0000)  6 Pa 2.96

# 2
Here is crystalline Nd2Sc2Sb2H at its relaxed geometry from the Alexandria database. Energies are from GGA-PBE.

## Properties
The calculation puts the final energy at -5.697 eV per atom. Its symmetry is I4/mmm (139).

a = 4.4289 Å, b = 4.4289 Å, c = 8.8929 Å
α = 104.42°, β = 104.42°, γ = 90.00°
Last column: nearest neighbours and their distance in Å.
Fractional positions:
Nd (0.1770, 0.1770, 0.3540)  1 H 2.95, 5 Sb 3.24-3.27
Nd (0.8230, 0.8230, 0.6460)  1 H 2.95, 5 Sb 3.24-3.27
Sc (0.0000, 0.5000, 0.0000)  2 H 2.21
Sc (0.5000, 0.0000, 0.0000)  2 H 2.21
Sb (0.3735, 0.3735, 0.7469)  4 Sc 3.06, 5 Nd 3.24-3.27
Sb (0.6265, 0.6265, 0.2531)  4 Sc 3.06, 5 Nd 3.24-3.27
H (0.0000, 0.0000, 0.0000)  4 Sc 2.21

# 3
Here is crystalline Pr6PtRh2Cl3 at its relaxed geometry from the Alexandria database. Energies are from GGA-PBE.

## Properties
Its symmetry is C2/m (12). The value obtained for the raw formation energy is -1.22 eV per atom.

a = 7.2088 Å, b = 7.2088 Å, c = 7.9580 Å
α = 98.66°, β = 98.66°, γ = 120.01°
Last column: nearest neighbours and their distance in Å.
Fractional positions:
Pr (0.9314, 0.5916, 0.7941)  2 Rh 2.85, 1 Pt 2.91
Pr (0.7284, 0.7284, 0.2057)  2 Rh 2.84, 1 Pt 2.91
Pr (0.0686, 0.4084, 0.2059)  2 Rh 2.85, 1 Pt 2.91
Pr (0.5916, 0.9314, 0.7941)  2 Rh 2.85, 1 Pt 2.91
Pr (0.2716, 0.2716, 0.7943)  2 Rh 2.84, 1 Pt 2.91
Pr (0.4084, 0.0686, 0.2059)  2 Rh 2.85, 1 Pt 2.91
Pt (0.0000, 0.0000, 0.0000)  6 Pr 2.91
Rh (0.3334, 0.6666, 0.0000)  6 Pr 2.84-2.85
Rh (0.6666, 0.3334, 0.0000)  6 Pr 2.84-2.85
Cl (0.1704, 0.8296, 0.5000)  6 Pr 3.22-3.33
Cl (0.8296, 0.1704, 0.5000)  6 Pr 3.22-3.33
Cl (0.5000, 0.5000, 0.5000)  6 Pr 3.24-3.30